A relaxed Y2Al2SnRu5 crystal, computed with PBE-GGA.

Calculated values
Symmetry ... No. 127
Uncorrected energy ... -149.25 eV for the cell shown
Density of states at the Fermi level ... 1.25 states/eV/atom
Volume ... 345.5 Å³ per cell
M_tot ... 1.14 μB/cell
E_form ... -0.3828 eV per atom

Lattice parameters (Å, degrees): 3.388 10.099 10.099 90.00 90.00 90.00
Site moments in Bohr magnetons follow the coordinates.
Sites, in units of the cell vectors:
Ru  0.500  0.565  0.705  0.13
Ru  0.500  0.435  0.295  0.13
Ru  0.500  0.000  0.500  0.03
Ru  0.500  0.795  0.935  0.13
Ru  0.500  0.500  0.000  0.03
Ru  0.500  0.065  0.795  0.13
Ru  0.500  0.295  0.565  0.13
Ru  0.500  0.705  0.435  0.13
Ru  0.500  0.205  0.065  0.13
Ru  0.500  0.935  0.205  0.13
Al  0.000  0.875  0.375  0.00
Al  0.000  0.625  0.875  0.00
Al  0.000  0.125  0.625  0.00
Al  0.000  0.375  0.125  0.00
Sn  0.000  0.500  0.500  0.00
Sn  0.000  0.000  0.000  0.00
Y  0.000  0.827  0.673  0.00
Y  0.000  0.673  0.173  0.00
Y  0.000  0.173  0.327  0.00
Y  0.000  0.327  0.827  0.00

---

A relaxed Pr2Tm4Th crystal, computed with PBE-GGA.

Calculated values
Symmetry ... No. 74
Uncorrected energy ... -65.65 eV for the cell shown
Density of states at the Fermi level ... 1.62 states/eV/atom
Volume ... 467.5 Å³ per cell
M_tot ... 0.00 μB/cell
E_form ... 0.2911 eV per atom

Lattice parameters (Å, degrees): 6.600 9.048 9.048 79.08 68.61 68.61
Sites, in units of the cell vectors:
Tm  0.240  0.239  0.739
Tm  0.139  0.370  0.351
Tm  0.139  0.851  0.870
Tm  0.219  0.761  0.261
Tm  0.861  0.149  0.130
Tm  0.781  0.239  0.739
Tm  0.861  0.630  0.649
Tm  0.760  0.761  0.261
Pr  0.500  0.000  0.000
Pr  0.726  0.024  0.524
Pr  0.500  0.500  0.500
Pr  0.274  0.976  0.476
Th  0.000  0.500  0.000
Th  0.500  0.500  0.000

---

A relaxed CdSi2P crystal, computed with PBE-GGA.

Calculated values
Symmetry ... No. 216
Uncorrected energy ... -14.55 eV for the cell shown
Energy above the most stable polymorph in this dataset ... 602 meV/atom
Density of states at the Fermi level ... 0.57 states/eV/atom
Volume ... 70.1 Å³ per cell
M_tot ... 0.00 μB/cell
Formation energy from raw total energies ... 0.655 eV per atom

Lattice parameters (Å, degrees): 4.627 4.627 4.627 60.00 60.00 60.00
Sites, in units of the cell vectors:
Si  0.000  0.000  0.000
Si  0.750  0.750  0.750
Cd  0.500  0.500  0.500
P  0.250  0.250  0.250

---

A relaxed AcTbY2 crystal, computed with PBE-GGA.

Calculated values
Symmetry ... No. 166
Uncorrected energy ... -21.47 eV for the cell shown
Energy above the most stable polymorph in this dataset ... 5 meV/atom
Density of states at the Fermi level ... 1.33 states/eV/atom
Volume ... 139.8 Å³ per cell
M_tot ... 0.00 μB/cell
E_form ... 0.0493 eV per atom

Lattice parameters (Å, degrees): 3.702 3.702 11.974 81.11 81.11 60.00
Sites, in units of the cell vectors:
Y  0.247  0.247  0.259
Y  0.753  0.753  0.741
Ac  0.000  0.000  0.000
Tb  0.500  0.500  0.500